[1]
## K2Ga2As3 (PBE)

Data for K2Ga2As3 after structural relaxation.

Cell: 13.9971 6.8398 15.8957 Å, 90.00 90.30 90.00°
Closest atoms and distances in Å follow each position.
Positions (direct):
K: 0.0576 0.0675 0.1014  3 As 3.18-3.29, 2 Ga 3.30-3.36
K: 0.0576 0.4325 0.6014  3 As 3.18-3.29, 2 Ga 3.30-3.36
K: 0.1532 0.5531 0.0182  5 As 3.28-3.50, 1 Ga 3.65
K: 0.1532 0.9469 0.5182  5 As 3.28-3.50, 1 Ga 3.65
K: 0.3556 0.0312 0.0044  6 As 3.31-3.69, 1 Ga 3.53
K: 0.3556 0.4688 0.5044  6 As 3.31-3.69, 1 Ga 3.53
K: 0.4215 0.5342 0.1082  2 Ga 3.30-3.38, 5 As 3.39-3.62
K: 0.4215 0.9658 0.6082  2 Ga 3.30-3.38, 5 As 3.39-3.62
K: 0.5785 0.0342 0.3918  2 Ga 3.30-3.38, 5 As 3.39-3.62
K: 0.5785 0.4658 0.8918  2 Ga 3.30-3.38, 5 As 3.39-3.62
K: 0.6444 0.5312 0.4956  6 As 3.31-3.69, 1 Ga 3.53
K: 0.6444 0.9688 0.9956  6 As 3.31-3.69, 1 Ga 3.53
K: 0.8468 0.0531 0.4818  5 As 3.28-3.50, 1 Ga 3.65
K: 0.8468 0.4469 0.9818  5 As 3.28-3.50, 1 Ga 3.65
K: 0.9424 0.5675 0.3986  3 As 3.18-3.29, 2 Ga 3.30-3.36
K: 0.9424 0.9325 0.8986  3 As 3.18-3.29, 2 Ga 3.30-3.36
Ga: 0.0923 0.7468 0.2586  4 As 2.55-2.60
Ga: 0.0923 0.7532 0.7586  4 As 2.55-2.60
Ga: 0.1857 0.2252 0.3248  4 As 2.49-2.65
Ga: 0.1857 0.2748 0.8248  4 As 2.49-2.65
Ga: 0.3162 0.7395 0.3186  4 As 2.49-2.56
Ga: 0.3162 0.7605 0.8186  4 As 2.49-2.56
Ga: 0.4087 0.2110 0.2685  4 As 2.53-2.55
Ga: 0.4087 0.2890 0.7685  4 As 2.53-2.55
Ga: 0.5913 0.7110 0.2315  4 As 2.53-2.55
Ga: 0.5913 0.7890 0.7315  4 As 2.53-2.55
Ga: 0.6838 0.2395 0.1814  4 As 2.49-2.56
Ga: 0.6838 0.2605 0.6814  4 As 2.49-2.56
Ga: 0.8143 0.7252 0.1752  4 As 2.49-2.65
Ga: 0.8143 0.7748 0.6752  4 As 2.49-2.65
Ga: 0.9077 0.2468 0.2414  4 As 2.55-2.60
Ga: 0.9077 0.2532 0.7414  4 As 2.55-2.60
As: 0.0265 0.0496 0.3328  3 Ga 2.54-2.58
As: 0.0265 0.4504 0.8328  3 Ga 2.54-2.58
As: 0.1712 0.5643 0.3802  3 Ga 2.49-2.56
As: 0.1712 0.9357 0.8802  3 Ga 2.49-2.56
As: 0.2460 0.6629 0.6763  1 As 2.51, 2 Ga 2.55-2.60
As: 0.2460 0.8371 0.1763  1 As 2.51, 2 Ga 2.55-2.60
As: 0.2563 0.2028 0.1802  1 As 2.51, 2 Ga 2.51-2.55
As: 0.2563 0.2972 0.6802  1 As 2.51, 2 Ga 2.51-2.55
As: 0.3346 0.0536 0.3968  3 Ga 2.49-2.65
As: 0.3346 0.4464 0.8968  3 Ga 2.49-2.65
As: 0.4683 0.5398 0.3222  3 Ga 2.53-2.54
As: 0.4683 0.9602 0.8222  3 Ga 2.53-2.54
As: 0.5317 0.0398 0.1778  3 Ga 2.53-2.54
As: 0.5317 0.4602 0.6778  3 Ga 2.53-2.54
As: 0.6654 0.5536 0.1032  3 Ga 2.49-2.65
As: 0.6654 0.9464 0.6032  3 Ga 2.49-2.65
As: 0.7437 0.7028 0.3198  1 As 2.51, 2 Ga 2.51-2.55
As: 0.7437 0.7972 0.8198  1 As 2.51, 2 Ga 2.51-2.55
As: 0.7540 0.1629 0.8237  1 As 2.51, 2 Ga 2.55-2.60
As: 0.7540 0.3371 0.3237  1 As 2.51, 2 Ga 2.55-2.60
As: 0.8288 0.0643 0.1198  3 Ga 2.49-2.56
As: 0.8288 0.4357 0.6198  3 Ga 2.49-2.56
As: 0.9735 0.5496 0.1672  3 Ga 2.54-2.58
As: 0.9735 0.9504 0.6672  3 Ga 2.54-2.58

Values from the calculation:
distance to the lowest polymorph of the same formula	0.000	eV/atom
E_form	-46	kJ/mol of atoms
SG	No. 14

=====

[2]
## KGaAs3 (PBE)

Data for KGaAs3 after structural relaxation.

Cell: 5.0952 5.0952 5.0952 Å, 90.00 90.00 90.00°
Closest atoms and distances in Å follow each position.
Positions (direct):
K: 0.0000 0.0000 0.0000  12 As 3.60
Ga: 0.5000 0.5000 0.5000  6 As 2.55
As: 0.0000 0.5000 0.5000  2 Ga 2.55
As: 0.5000 0.0000 0.5000  2 Ga 2.55
As: 0.5000 0.5000 0.0000  2 Ga 2.55

Values from the calculation:
distance to the lowest polymorph of the same formula	0.000	eV/atom
E_form	27	kJ/mol of atoms
SG	No. 221